one.
PBE FeGeSbTe2, relaxed; magnetic moment = 2.179 μB/cell; space-group type = P4/mmm
1.0
5.162 0.000 0.000
0.000 5.162 0.000
0.000 0.000 4.885
Fe Ge Sb Te
1 1 1 2
direct
0.000 0.000 0.000
0.500 0.500 0.500
0.000 0.000 0.500
0.000 0.500 0.000
0.500 0.000 0.000

two.
PBE FeGeSbTe2, relaxed; magnetic moment = 3.378 μB/cell; space-group type = P4/mmm
1.0
5.346 0.000 0.000
0.000 5.346 0.000
0.000 0.000 5.353
Fe Ge Sb Te
1 1 1 2
direct
0.000 0.000 0.000
0.500 0.500 0.500
0.500 0.500 0.000
0.000 0.500 0.500
0.500 0.000 0.500

one is the most stable structure shown above.